The following is a meta-GGA SCAN calculation of ZrFeAu at its PBEsol-relaxed geometry, from Alexandria via LeMat-Bulk.

Results
Energy of formation from the pure elements, eV per atom: -0.049
Space group: No. 216
Total energy, eV per atom: -39.378

```
ZrFeAu
1.0
0.0000 3.0021 3.0021
3.0021 0.0000 3.0021
3.0021 3.0021 0.0000
Zr Fe Au
1 1 1
Direct
0.0000 0.0000 0.0000
0.2500 0.2500 0.2500
0.5000 0.5000 0.5000
```